# 1
DFT (GGA-PBEsol) results for a geometry-optimized LaIn2Ag structure.

Unit cell a=5.139 b=5.139 c=5.139 alpha=60.00 beta=60.00 gamma=60.00
Element x y z (fractional)
1 La 0.000 0.000 0.000
2 In 0.250 0.250 0.250
3 In 0.500 0.500 0.500
4 Ag 0.750 0.750 0.750

Results
Size of the total moment = 0.000 μB per atom
ΔH_f (0 K) = -0.362 eV per atom
Density of states at the Fermi level = 1.51 states/eV/cell
Space-group type = F-43m

=====

# 2
DFT (GGA-PBEsol) results for a geometry-optimized Li2VCuP2O8 structure.

Unit cell a=4.680 b=5.975 c=10.068 alpha=90.00 beta=90.72 gamma=90.00
Element x y z (fractional)
1 Li 0.000 0.000 0.000
2 Li 0.000 0.500 0.000
3 Li 0.500 0.000 0.500
4 Li 0.500 0.500 0.500
5 V 0.015 0.250 0.281
6 V 0.985 0.750 0.719
7 Cu 0.453 0.250 0.782
8 Cu 0.547 0.750 0.218
9 P 0.071 0.750 0.408
10 P 0.414 0.750 0.902
11 P 0.586 0.250 0.098
12 P 0.929 0.250 0.592
13 O 0.197 0.539 0.339
14 O 0.197 0.961 0.339
15 O 0.212 0.750 0.550
16 O 0.255 0.250 0.588
17 O 0.258 0.250 0.106
18 O 0.265 0.549 0.827
19 O 0.265 0.951 0.827
20 O 0.304 0.750 0.045
21 O 0.696 0.250 0.955
22 O 0.735 0.049 0.173
23 O 0.735 0.451 0.173
24 O 0.742 0.750 0.894
25 O 0.745 0.750 0.412
26 O 0.788 0.250 0.450
27 O 0.803 0.039 0.661
28 O 0.803 0.461 0.661

Results
Uncorrected energy = -7.16 eV per atom
Size of the total moment = 0.143 μB per atom
Density of states at the Fermi level = 9.74 states/eV/cell
Space-group type = P2_1/m

=====

# 3
DFT (GGA-PBEsol) results for a geometry-optimized ZrAg2Se structure.

Unit cell a=4.960 b=4.960 c=5.227 alpha=111.51 beta=111.51 gamma=39.71
Element x y z (fractional)
1 Zr 0.000 0.000 0.000
2 Ag 0.552 0.552 0.526
3 Ag 0.797 0.797 0.374
4 Se 0.263 0.263 0.919

Results
Uncorrected energy = -5.15 eV per atom
Size of the total moment = 0.000 μB per atom
Density of states at the Fermi level = 1.99 states/eV/cell
Space-group type = Cm

=====

# 4
DFT (GGA-PBEsol) results for a geometry-optimized Li3La structure.

Unit cell a=5.552 b=5.552 c=3.285 alpha=90.00 beta=90.00 gamma=90.35
Element x y z (fractional)
1 Li 0.000 0.000 0.000
2 Li 0.000 0.500 0.500
3 Li 0.500 0.000 0.500
4 La 0.500 0.500 0.000

Results
Size of the total moment = 0.000 μB per atom
ΔH_f (0 K) = 0.180 eV per atom
Density of states at the Fermi level = 2.81 states/eV/cell
Space-group type = Cmmm

=====

# 5
DFT (GGA-PBEsol) results for a geometry-optimized PrCoGe structure.

Unit cell a=4.088 b=4.088 c=6.900 alpha=90.00 beta=90.00 gamma=90.00
Element x y z (fractional)
1 Pr 0.250 0.250 0.187
2 Pr 0.750 0.750 0.813
3 Co 0.250 0.750 0.500
4 Co 0.750 0.250 0.500
5 Ge 0.250 0.250 0.680
6 Ge 0.750 0.750 0.320

Results
Size of the total moment = 0.118 μB per atom
ΔH_f (0 K) = -0.635 eV per atom
Density of states at the Fermi level = 3.27 states/eV/cell
Space-group type = P4/nmm

=====

# 6
DFT (GGA-PBEsol) results for a geometry-optimized TcRhCl4 structure.

Unit cell a=5.491 b=5.491 c=5.491 alpha=60.00 beta=60.00 gamma=60.00
Element x y z (fractional)
1 Tc 0.000 0.000 0.000
2 Rh 0.750 0.750 0.750
3 Cl 0.375 0.375 0.375
4 Cl 0.375 0.375 0.875
5 Cl 0.375 0.875 0.375
6 Cl 0.875 0.375 0.375

Results
Uncorrected energy = -3.10 eV per atom
Size of the total moment = 0.862 μB per atom
Density of states at the Fermi level = 8.08 states/eV/cell
Space-group type = F-43m

=====

# 7
DFT (GGA-PBEsol) results for a geometry-optimized TiH42N14Cl3 structure.

Unit cell a=8.969 b=9.165 c=12.216 alpha=90.00 beta=92.40 gamma=90.00
Element x y z (fractional)
1 Ti 0.000 0.232 0.250
2 Ti 0.000 0.768 0.750
3 H 0.009 0.392 0.061
4 H 0.009 0.608 0.561
5 H 0.024 0.482 0.657
6 H 0.024 0.518 0.157
7 H 0.072 0.057 0.836
8 H 0.072 0.943 0.336
9 H 0.112 0.173 0.046
10 H 0.112 0.827 0.546
11 H 0.132 0.074 0.419
12 H 0.132 0.926 0.919
13 H 0.153 0.309 0.867
14 H 0.153 0.691 0.367
15 H 0.159 0.029 0.121
16 H 0.159 0.971 0.621
17 H 0.174 0.423 0.125
18 H 0.174 0.577 0.625
19 H 0.213 0.299 0.410
20 H 0.213 0.701 0.910
21 H 0.220 0.311 0.745
22 H 0.220 0.689 0.245
23 H 0.229 0.433 0.320
24 H 0.229 0.567 0.820
25 H 0.230 0.031 0.311
26 H 0.230 0.969 0.811
27 H 0.263 0.178 0.132
28 H 0.263 0.822 0.632
29 H 0.311 0.269 0.300
30 H 0.311 0.731 0.800
31 H 0.336 0.310 0.855
32 H 0.336 0.690 0.355
33 H 0.363 0.208 0.570
34 H 0.363 0.792 0.070
35 H 0.415 0.391 0.024
36 H 0.415 0.609 0.524
37 H 0.416 0.463 0.605
38 H 0.416 0.537 0.105
39 H 0.454 0.373 0.156
40 H 0.454 0.627 0.656
41 H 0.497 0.153 0.492
42 H 0.497 0.847 0.992
43 H 0.500 0.110 0.623
44 H 0.500 0.110 0.877
45 H 0.500 0.890 0.123
46 H 0.500 0.890 0.377
47 H 0.503 0.153 0.008
48 H 0.503 0.847 0.508
49 H 0.546 0.373 0.344
50 H 0.546 0.627 0.844
51 H 0.584 0.463 0.895
52 H 0.584 0.537 0.395
53 H 0.585 0.391 0.476
54 H 0.585 0.609 0.976
55 H 0.637 0.208 0.930
56 H 0.637 0.792 0.430
57 H 0.664 0.310 0.645
58 H 0.664 0.690 0.145
59 H 0.689 0.269 0.200
60 H 0.689 0.731 0.700
61 H 0.737 0.178 0.368
62 H 0.737 0.822 0.868
63 H 0.770 0.031 0.189
64 H 0.770 0.969 0.689
65 H 0.771 0.433 0.180
66 H 0.771 0.567 0.680
67 H 0.780 0.311 0.755
68 H 0.780 0.689 0.255
69 H 0.787 0.299 0.090
70 H 0.787 0.701 0.590
71 H 0.826 0.423 0.375
72 H 0.826 0.577 0.875
73 H 0.841 0.029 0.379
74 H 0.841 0.971 0.879
75 H 0.847 0.309 0.633
76 H 0.847 0.691 0.133
77 H 0.868 0.074 0.081
78 H 0.868 0.926 0.581
79 H 0.888 0.173 0.454
80 H 0.888 0.827 0.954
81 H 0.928 0.057 0.664
82 H 0.928 0.943 0.164
83 H 0.976 0.482 0.843
84 H 0.976 0.518 0.343
85 H 0.991 0.392 0.439
86 H 0.991 0.608 0.939
87 N 0.059 0.415 0.137
88 N 0.059 0.585 0.637
89 N 0.123 0.044 0.337
90 N 0.123 0.956 0.837
91 N 0.155 0.142 0.122
92 N 0.155 0.858 0.622
93 N 0.216 0.320 0.327
94 N 0.216 0.680 0.827
95 N 0.237 0.353 0.823
96 N 0.237 0.647 0.323
97 N 0.386 0.428 0.100
98 N 0.386 0.572 0.600
99 N 0.477 0.194 0.568
100 N 0.477 0.806 0.068
101 N 0.523 0.194 0.932
102 N 0.523 0.806 0.432
103 N 0.614 0.428 0.400
104 N 0.614 0.572 0.900
105 N 0.763 0.353 0.677
106 N 0.763 0.647 0.177
107 N 0.784 0.320 0.173
108 N 0.784 0.680 0.673
109 N 0.845 0.142 0.378
110 N 0.845 0.858 0.878
111 N 0.877 0.044 0.163
112 N 0.877 0.956 0.663
113 N 0.941 0.415 0.363
114 N 0.941 0.585 0.863
115 Cl 0.099 0.219 0.579
116 Cl 0.099 0.781 0.079
117 Cl 0.500 0.108 0.250
118 Cl 0.500 0.892 0.750
119 Cl 0.901 0.219 0.921
120 Cl 0.901 0.781 0.421

Results
Uncorrected energy = -5.05 eV per atom
Size of the total moment = 0.017 μB per atom
Space-group type = P2/c

=====

# 8
DFT (GGA-PBEsol) results for a geometry-optimized CuTc2W structure.

Unit cell a=2.714 b=3.852 c=5.295 alpha=90.00 beta=90.00 gamma=90.00
Element x y z (fractional)
1 Cu 0.000 0.000 0.000
2 Tc 0.000 0.000 0.490
3 Tc 0.500 0.500 0.255
4 W 0.500 0.500 0.752

Results
Size of the total moment = 0.000 μB per atom
ΔH_f (0 K) = 0.186 eV per atom
Density of states at the Fermi level = 2.36 states/eV/cell
Space-group type = Pmm2

=====

# 9
DFT (GGA-PBEsol) results for a geometry-optimized PIr5 structure.

Unit cell a=4.376 b=7.158 c=7.158 alpha=21.91 beta=90.00 gamma=90.00
Element x y z (fractional)
1 P 0.000 0.000 0.000
2 Ir 0.000 0.328 0.328
3 Ir 0.000 0.654 0.654
4 Ir 0.500 0.205 0.205
5 Ir 0.500 0.537 0.537
6 Ir 0.500 0.872 0.872

Results
Size of the total moment = 0.000 μB per atom
ΔH_f (0 K) = 0.167 eV per atom
Density of states at the Fermi level = 5.56 states/eV/cell
Space-group type = Amm2

=====

# 10
DFT (GGA-PBEsol) results for a geometry-optimized MgZnCo2 structure.

Unit cell a=4.986 b=4.986 c=4.986 alpha=147.69 beta=129.64 gamma=61.11
Element x y z (fractional)
1 Mg 0.000 0.000 0.000
2 Zn 0.724 0.224 0.500
3 Co 0.263 0.763 0.500
4 Co 0.481 0.481 0.000

Results
Size of the total moment = 0.537 μB per atom
ΔH_f (0 K) = 0.102 eV per atom
Density of states at the Fermi level = 3.65 states/eV/cell
Space-group type = Imm2

=====

# 11
DFT (GGA-PBEsol) results for a geometry-optimized Hf3SnF structure.

Unit cell a=4.479 b=4.479 c=4.479 alpha=90.00 beta=90.00 gamma=90.00
Element x y z (fractional)
1 Hf 0.000 0.000 0.500
2 Hf 0.000 0.500 0.000
3 Hf 0.500 0.000 0.000
4 Sn 0.500 0.500 0.500
5 F 0.000 0.000 0.000

Results
Uncorrected energy = -8.10 eV per atom
Size of the total moment = 0.002 μB per atom
Density of states at the Fermi level = 5.97 states/eV/cell
Space-group type = Pm-3m

=====

# 12
DFT (GGA-PBEsol) results for a geometry-optimized Er2WO6 structure.

Unit cell a=7.546 b=5.272 c=11.216 alpha=90.00 beta=104.89 gamma=90.00
Element x y z (fractional)
1 Er 0.000 0.181 0.250
2 Er 0.000 0.819 0.750
3 Er 0.296 0.318 0.922
4 Er 0.296 0.682 0.422
5 Er 0.500 0.239 0.250
6 Er 0.500 0.761 0.750
7 Er 0.704 0.318 0.578
8 Er 0.704 0.682 0.078
9 W 0.222 0.245 0.614
10 W 0.222 0.755 0.114
11 W 0.778 0.245 0.886
12 W 0.778 0.755 0.386
13 O 0.013 0.143 0.887
14 O 0.013 0.857 0.387
15 O 0.131 0.345 0.449
16 O 0.131 0.655 0.949
17 O 0.212 0.481 0.230
18 O 0.212 0.519 0.730
19 O 0.288 0.037 0.773
20 O 0.288 0.963 0.273
21 O 0.351 0.031 0.070
22 O 0.351 0.969 0.570
23 O 0.438 0.461 0.603
24 O 0.438 0.539 0.103
25 O 0.562 0.461 0.897
26 O 0.562 0.539 0.397
27 O 0.649 0.031 0.430
28 O 0.649 0.969 0.930
29 O 0.712 0.037 0.727
30 O 0.712 0.963 0.227
31 O 0.788 0.481 0.270
32 O 0.788 0.519 0.770
33 O 0.869 0.345 0.051
34 O 0.869 0.655 0.551
35 O 0.987 0.143 0.613
36 O 0.987 0.857 0.113

Results
Uncorrected energy = -9.25 eV per atom
Size of the total moment = 0.000 μB per atom
Density of states at the Fermi level = 0.00 states/eV/cell
Space-group type = P2/c

=====

> The highest size of the total moment belongs to which entry?

TcRhCl4